No. 1
{
  "formula": "Ti4Te5P",
  "functional": "PBE-GGA",
  "state": "relaxed",
  "lattice": [[8.4209, -1.8415, 0.0000], [8.4209, 1.8415, 0.0000], [-1.6510, 0.0000, 7.5786]],
  "species": ["Ti", "Ti", "Ti", "Ti", "Te", "Te", "Te", "Te", "Te", "P"],
  "fractional_positions": [[0.0021, 0.0021, 0.2880], [0.3544, 0.3544, 0.4287], [0.6456, 0.6456, 0.5713], [0.9979, 0.9979, 0.7120], [0.1636, 0.1636, 0.8400], [0.1724, 0.1724, 0.3226], [0.5000, 0.5000, 0.0000], [0.8276, 0.8276, 0.6774], [0.8364, 0.8364, 0.1600], [0.5000, 0.5000, 0.5000]],
  "magnetic_moment_mub_per_fu": 0.000,
  "rho_g_cm3": 6.08,
  "volume_a3_per_fu": 235.0,
  "raw_formation_energy_ev_per_atom": -0.7847,
  "space_group": "C2/m"
}

No. 2
{
  "formula": "TiTeP3",
  "functional": "PBE-GGA",
  "state": "relaxed",
  "lattice": [[4.9293, 0.0000, 0.0000], [0.0000, 4.9293, 0.0000], [0.0000, 0.0000, 4.9293]],
  "species": ["Ti", "Te", "P", "P", "P"],
  "fractional_positions": [[0.0000, 0.0000, 0.0000], [0.5000, 0.5000, 0.5000], [0.0000, 0.5000, 0.5000], [0.5000, 0.0000, 0.5000], [0.5000, 0.5000, 0.0000]],
  "magnetic_moment_mub_per_fu": 0.033,
  "rho_g_cm3": 3.72,
  "relative_energy_mev_per_atom": 936.8,
  "volume_a3_per_fu": 119.8,
  "raw_formation_energy_ev_per_atom": 1.2949,
  "space_group": "Pm-3m"
}

No. 3
{
  "formula": "Ti2Te2P",
  "functional": "PBE-GGA",
  "state": "relaxed",
  "lattice": [[3.6432, 0.0000, 0.0000], [-1.8216, 3.1551, 0.0000], [0.0000, 0.0000, 29.7630]],
  "species": ["Ti", "Ti", "Ti", "Ti", "Ti", "Ti", "Te", "Te", "Te", "Te", "Te", "Te", "P", "P", "P"],
  "fractional_positions": [[0.0000, 0.0000, 0.1222], [0.0000, 0.0000, 0.8778], [0.3333, 0.6667, 0.5445], [0.3333, 0.6667, 0.7888], [0.6667, 0.3333, 0.2112], [0.6667, 0.3333, 0.4555], [0.0000, 0.0000, 0.2727], [0.0000, 0.0000, 0.7273], [0.3333, 0.6667, 0.3940], [0.3333, 0.6667, 0.9393], [0.6667, 0.3333, 0.0607], [0.6667, 0.3333, 0.6060], [0.0000, 0.0000, 0.5000], [0.3333, 0.6667, 0.1667], [0.6667, 0.3333, 0.8333]],
  "magnetic_moment_mub_per_fu": 0.000,
  "rho_g_cm3": 5.56,
  "volume_a3_per_fu": 114.0,
  "raw_formation_energy_ev_per_atom": -0.9093,
  "space_group": "R-3m"
}

No. 4
{
  "formula": "TiTeP",
  "functional": "PBE-GGA",
  "state": "relaxed",
  "lattice": [[6.4295, 0.0000, 0.0000], [0.0000, 6.4295, 0.0000], [0.0000, 0.0000, 6.4295]],
  "species": ["Ti", "Ti", "Ti", "Ti", "Te", "Te", "Te", "Te", "P", "P", "P", "P"],
  "fractional_positions": [[0.0402, 0.0402, 0.0402], [0.4598, 0.9598, 0.5402], [0.5402, 0.4598, 0.9598], [0.9598, 0.5402, 0.4598], [0.1263, 0.6263, 0.8737], [0.3737, 0.3737, 0.3737], [0.6263, 0.8737, 0.1263], [0.8737, 0.1263, 0.6263], [0.1054, 0.8946, 0.3946], [0.3946, 0.1054, 0.8946], [0.6054, 0.6054, 0.6054], [0.8946, 0.3946, 0.1054]],
  "magnetic_moment_mub_per_fu": 1.013,
  "rho_g_cm3": 5.16,
  "volume_a3_per_fu": 66.4,
  "raw_formation_energy_ev_per_atom": -0.3840,
  "space_group": "P2_13"
}

No. 5
{
  "formula": "TiTeP2",
  "functional": "PBE-GGA",
  "state": "relaxed",
  "lattice": [[5.9371, 0.0000, 0.0000], [0.0000, 5.9371, 0.0000], [0.0000, 0.0000, 11.6974]],
  "species": ["Ti", "Ti", "Ti", "Ti", "Te", "Te", "Te", "Te", "P", "P", "P", "P", "P", "P", "P", "P"],
  "fractional_positions": [[0.0000, 0.0000, 0.0000], [0.0000, 0.5000, 0.2500], [0.5000, 0.0000, 0.7500], [0.5000, 0.5000, 0.5000], [0.0000, 0.0000, 0.5000], [0.0000, 0.5000, 0.7500], [0.5000, 0.0000, 0.2500], [0.5000, 0.5000, 0.0000], [0.1982, 0.2500, 0.1250], [0.2500, 0.6982, 0.3750], [0.2500, 0.8018, 0.8750], [0.3018, 0.2500, 0.6250], [0.6982, 0.7500, 0.6250], [0.7500, 0.1982, 0.8750], [0.7500, 0.3018, 0.3750], [0.8018, 0.7500, 0.1250]],
  "magnetic_moment_mub_per_fu": 0.000,
  "rho_g_cm3": 3.82,
  "volume_a3_per_fu": 103.1,
  "raw_formation_energy_ev_per_atom": 0.1361,
  "space_group": "I-42d"
}

No. 6
{
  "formula": "TiTeP3",
  "functional": "PBE-GGA",
  "state": "relaxed",
  "lattice": [[4.7490, 0.0000, 0.0000], [0.0000, 4.7490, 0.0000], [0.0000, 0.0000, 4.7490]],
  "species": ["Ti", "Te", "P", "P", "P"],
  "fractional_positions": [[0.0000, 0.0000, 0.0000], [0.5000, 0.5000, 0.5000], [0.0000, 0.0000, 0.5000], [0.0000, 0.5000, 0.0000], [0.5000, 0.0000, 0.0000]],
  "magnetic_moment_mub_per_fu": 0.000,
  "rho_g_cm3": 4.16,
  "relative_energy_mev_per_atom": 0.0,
  "volume_a3_per_fu": 107.1,
  "raw_formation_energy_ev_per_atom": 0.3582,
  "space_group": "Pm-3m"
}